Record 1
This record from Alexandria via LeMat-Bulk describes a relaxed structure of LaCdAg2. The functional is GGA-PBE.

a b c (Å): 4.9039 4.9039 5.4784
angles (deg): 63.52 63.52 60.07
Sites, in units of the cell vectors:
Cd  0.5215  0.5215  0.4354
Ag  0.9696  0.9696  0.0910
Ag  0.2625  0.2625  0.2128
La  0.7464  0.7464  0.7607

Crystal system: monoclinic
ΔH_f (0 K) in eV/atom: -0.207
Uncorrected energy in eV for the cell shown: -12.4
SG: Cm, No. 8
Volume in Å³/atom: 24.47


Record 2
This record from Alexandria via LeMat-Bulk describes a relaxed structure of Pm6Dy3Y2Th. The functional is GGA-PBE.

a b c (Å): 6.2460 6.2460 11.9485
angles (deg): 95.01 95.01 119.94
Sites, in units of the cell vectors:
Th  0.0000  0.0000  0.0000
Pm  0.9162  0.5867  0.7496
Pm  0.2455  0.2455  0.7500
Pm  0.5867  0.9162  0.7496
Pm  0.0838  0.4133  0.2504
Pm  0.7545  0.7545  0.2500
Pm  0.4133  0.0838  0.2504
Dy  0.1669  0.8331  0.5000
Dy  0.8331  0.1669  0.5000
Dy  0.5000  0.5000  0.5000
Y  0.6667  0.3333  0.0000
Y  0.3333  0.6667  0.0000

Crystal system: monoclinic
ΔH_f (0 K) in eV/atom: 0.030
Uncorrected energy in eV for the cell shown: -62.3
SG: C2/m, No. 12
Volume in Å³/atom: 33.14


Record 3
This record from Alexandria via LeMat-Bulk describes a relaxed structure of Sb5Pt. The functional is GGA-PBE.

a b c (Å): 3.3007 3.3007 14.0173
angles (deg): 90.00 90.00 90.00
Sites, in units of the cell vectors:
Sb  0.5000  0.5000  0.3283
Sb  0.0000  0.0000  0.8764
Sb  0.0000  0.0000  0.5000
Sb  0.5000  0.5000  0.6717
Sb  0.0000  0.0000  0.1236
Pt  0.5000  0.5000  0.0000

Crystal system: tetragonal
Uncorrected energy in eV for the cell shown: -26.1
Energy above the most stable polymorph in this dataset in meV per atom: 202
E_form (uncorrected) in eV/atom: 0.09
SG: P4/mmm, No. 123
Volume in Å³/atom: 25.45